# 1
VASP calculation (GGA-PBE) on a geometry-optimized Rb3Hg6Pt2 structure. Values from VASP.

Geometry as Quantum ESPRESSO input:
```
&SYSTEM
  ibrav = 0, nat = 11, ntyp = 3
/
ATOMIC_SPECIES
Rb 85.47 Rb.upf
Hg 200.59 Hg.upf
Pt 195.08 Pt.upf
CELL_PARAMETERS angstrom
5.296 0.000 -1.040
-0.204 5.292 -1.040
0.137 0.143 14.712
ATOMIC_POSITIONS crystal
Rb 0.000 0.000 0.000
Rb 0.819 0.819 0.639
Rb 0.181 0.181 0.361
Hg 0.091 0.591 0.182
Hg 0.591 0.091 0.182
Hg 0.909 0.409 0.818
Hg 0.409 0.909 0.818
Hg 0.689 0.689 0.379
Hg 0.311 0.311 0.621
Pt 0.407 0.407 0.813
Pt 0.593 0.593 0.187
```

Formation energy from the elements   -0.21 eV/atom
Symmetry   I4/mmm, No. 139
Total magnetic moment   0.000 μB/atom
Mass density   7.42 g/cm3
Calculated volume   37.6 A^3/atom



# 2
VASP calculation (GGA-PBE) on a geometry-optimized RbHgPt3 structure. Values from VASP.

Geometry as Quantum ESPRESSO input:
```
&SYSTEM
  ibrav = 0, nat = 5, ntyp = 3
/
ATOMIC_SPECIES
Rb 85.47 Rb.upf
Hg 200.59 Hg.upf
Pt 195.08 Pt.upf
CELL_PARAMETERS angstrom
-5.145 0.566 0.037
-0.266 -2.705 4.405
0.501 4.377 2.718
ATOMIC_POSITIONS crystal
Rb 0.500 0.500 0.500
Hg 0.000 0.000 0.000
Pt 0.000 0.500 0.000
Pt 0.000 0.000 0.500
Pt 0.500 0.000 0.000
```

Formation energy from the elements   0.88 eV/atom
Symmetry   Pm-3m, No. 221
Total magnetic moment   0.000 μB/atom
Mass density   10.43 g/cm3
E above lowest polymorph   0.0 kJ/mol of formula units
Calculated volume   27.7 A^3/atom



# 3
VASP calculation (GGA-PBE) on a geometry-optimized Rb6Hg3Pt structure. Values from VASP.

Geometry as Quantum ESPRESSO input:
```
&SYSTEM
  ibrav = 0, nat = 20, ntyp = 3
/
ATOMIC_SPECIES
Rb 85.47 Rb.upf
Hg 200.59 Hg.upf
Pt 195.08 Pt.upf
CELL_PARAMETERS angstrom
-0.926 -5.622 5.024
-7.040 -4.124 -5.914
10.064 -5.828 -4.666
ATOMIC_POSITIONS crystal
Rb 0.938 0.341 0.099
Rb 0.887 0.326 0.432
Rb 0.821 0.174 0.794
Rb 0.179 0.826 0.206
Rb 0.113 0.674 0.568
Rb 0.062 0.659 0.901
Rb 0.562 0.841 0.599
Rb 0.613 0.826 0.932
Rb 0.679 0.674 0.294
Rb 0.321 0.326 0.706
Rb 0.387 0.174 0.068
Rb 0.438 0.159 0.401
Hg 0.291 0.473 0.317
Hg 0.500 0.500 0.000
Hg 0.709 0.527 0.683
Hg 0.209 0.973 0.817
Hg 0.000 0.000 0.500
Hg 0.791 0.027 0.183
Pt 0.500 0.500 0.500
Pt 0.000 0.000 0.000
```

Formation energy from the elements   -0.11 eV/atom
Symmetry   P2_1/c, No. 14
Total magnetic moment   0.000 μB/atom
Mass density   4.59 g/cm3
Calculated volume   47.4 A^3/atom



# 4
VASP calculation (GGA-PBE) on a geometry-optimized Rb6HgPt structure. Values from VASP.

Geometry as Quantum ESPRESSO input:
```
&SYSTEM
  ibrav = 0, nat = 8, ntyp = 3
/
ATOMIC_SPECIES
Rb 85.47 Rb.upf
Hg 200.59 Hg.upf
Pt 195.08 Pt.upf
CELL_PARAMETERS angstrom
4.707 0.000 0.000
0.000 10.342 -0.960
0.000 0.191 10.385
ATOMIC_POSITIONS crystal
Rb 0.000 0.503 0.774
Rb 0.000 0.226 0.497
Rb 0.000 0.667 0.333
Rb 0.500 0.928 0.660
Rb 0.500 0.340 0.072
Rb 0.500 0.944 0.056
Hg 0.000 0.147 0.853
Pt 0.500 0.246 0.754
```

Formation energy from the elements   -0.06 eV/atom
Symmetry   Amm2, No. 38
Total magnetic moment   0.000 μB/atom
Mass density   2.98 g/cm3
Calculated volume   63.3 A^3/atom



# 5
VASP calculation (GGA-PBE) on a geometry-optimized RbHgPt structure. Values from VASP.

Geometry as Quantum ESPRESSO input:
```
&SYSTEM
  ibrav = 0, nat = 6, ntyp = 3
/
ATOMIC_SPECIES
Rb 85.47 Rb.upf
Hg 200.59 Hg.upf
Pt 195.08 Pt.upf
CELL_PARAMETERS angstrom
-3.722 -0.908 -2.511
1.467 -5.975 -0.014
-2.205 1.004 7.083
ATOMIC_POSITIONS crystal
Rb 0.877 0.624 0.753
Rb 0.123 0.376 0.247
Hg 0.581 0.868 0.162
Hg 0.419 0.132 0.838
Pt 0.218 0.941 0.436
Pt 0.782 0.059 0.564
```

Formation energy from the elements   -0.14 eV/atom
Symmetry   C2/m, No. 12
Total magnetic moment   0.000 μB/atom
Mass density   8.14 g/cm3
E above lowest polymorph   0.0 kJ/mol of formula units
Calculated volume   32.7 A^3/atom



# 6
VASP calculation (GGA-PBE) on a geometry-optimized RbHgPt3 structure. Values from VASP.

Geometry as Quantum ESPRESSO input:
```
&SYSTEM
  ibrav = 0, nat = 5, ntyp = 3
/
ATOMIC_SPECIES
Rb 85.47 Rb.upf
Hg 200.59 Hg.upf
Pt 195.08 Pt.upf
CELL_PARAMETERS angstrom
5.151 0.000 0.000
0.000 5.151 0.000
0.000 0.000 5.151
ATOMIC_POSITIONS crystal
Rb 0.000 0.000 0.000
Hg 0.500 0.500 0.500
Pt 0.000 0.500 0.000
Pt 0.000 0.000 0.500
Pt 0.500 0.000 0.000
```

Formation energy from the elements   2.04 eV/atom
Symmetry   Pm-3m, No. 221
Total magnetic moment   0.000 μB/atom
Mass density   10.58 g/cm3
E above lowest polymorph   560.2 kJ/mol of formula units
Calculated volume   27.3 A^3/atom



# 7
VASP calculation (GGA-PBE) on a geometry-optimized RbHgPt structure. Values from VASP.

Geometry as Quantum ESPRESSO input:
```
&SYSTEM
  ibrav = 0, nat = 3, ntyp = 3
/
ATOMIC_SPECIES
Rb 85.47 Rb.upf
Hg 200.59 Hg.upf
Pt 195.08 Pt.upf
CELL_PARAMETERS angstrom
3.858 0.000 0.000
0.000 3.858 0.000
-1.929 -1.929 6.116
ATOMIC_POSITIONS crystal
Rb 0.000 0.000 0.001
Hg 0.736 0.736 0.472
Pt 0.263 0.263 0.527
```

Formation energy from the elements   -0.04 eV/atom
Symmetry   I4mm, No. 107
Total magnetic moment   0.000 μB/atom
Mass density   8.78 g/cm3
E above lowest polymorph   27.6 kJ/mol of formula units
Calculated volume   30.3 A^3/atom



# 8
VASP calculation (GGA-PBE) on a geometry-optimized RbHgPt structure. Values from VASP.

Geometry as Quantum ESPRESSO input:
```
&SYSTEM
  ibrav = 0, nat = 3, ntyp = 3
/
ATOMIC_SPECIES
Rb 85.47 Rb.upf
Hg 200.59 Hg.upf
Pt 195.08 Pt.upf
CELL_PARAMETERS angstrom
5.101 0.000 0.000
0.000 4.688 0.000
0.000 -2.344 4.060
ATOMIC_POSITIONS crystal
Rb 0.667 0.333 0.667
Hg 0.167 0.667 0.333
Pt 0.167 0.000 0.000
```

Formation energy from the elements   -0.07 eV/atom
Symmetry   P-6m2, No. 187
Total magnetic moment   0.000 μB/atom
Mass density   8.23 g/cm3
E above lowest polymorph   19.2 kJ/mol of formula units
Calculated volume   32.4 A^3/atom



# 9
VASP calculation (GGA-PBE) on a geometry-optimized Rb2HgPt2 structure. Values from VASP.

Geometry as Quantum ESPRESSO input:
```
&SYSTEM
  ibrav = 0, nat = 10, ntyp = 3
/
ATOMIC_SPECIES
Rb 85.47 Rb.upf
Hg 200.59 Hg.upf
Pt 195.08 Pt.upf
CELL_PARAMETERS angstrom
-5.996 -2.784 -2.564
-0.282 -4.463 5.504
-2.939 3.704 2.853
ATOMIC_POSITIONS crystal
Rb 0.176 0.676 0.500
Rb 0.676 0.824 0.500
Rb 0.824 0.324 0.500
Rb 0.324 0.176 0.500
Hg 0.000 0.000 0.000
Hg 0.500 0.500 0.000
Pt 0.371 0.871 0.000
Pt 0.871 0.629 0.000
Pt 0.629 0.129 0.000
Pt 0.129 0.371 0.000
```

Formation energy from the elements   -0.02 eV/atom
Symmetry   P4/mbm, No. 127
Total magnetic moment   0.000 μB/atom
Mass density   9.11 g/cm3
E above lowest polymorph   0.0 kJ/mol of formula units
Calculated volume   27.8 A^3/atom



# 10
VASP calculation (GGA-PBE) on a geometry-optimized RbHgPt structure. Values from VASP.

Geometry as Quantum ESPRESSO input:
```
&SYSTEM
  ibrav = 0, nat = 12, ntyp = 3
/
ATOMIC_SPECIES
Rb 85.47 Rb.upf
Hg 200.59 Hg.upf
Pt 195.08 Pt.upf
CELL_PARAMETERS angstrom
-5.991 -1.611 -3.172
6.677 -4.680 -2.581
-1.355 -4.648 4.920
ATOMIC_POSITIONS crystal
Rb 0.820 0.641 0.500
Rb 0.680 0.359 0.000
Rb 0.180 0.359 0.500
Rb 0.320 0.641 0.000
Hg 0.250 0.000 0.250
Hg 0.250 0.000 0.750
Hg 0.750 0.000 0.750
Hg 0.750 0.000 0.250
Pt 0.589 0.177 0.500
Pt 0.911 0.823 0.000
Pt 0.411 0.823 0.500
Pt 0.089 0.177 0.000
```

Formation energy from the elements   -0.03 eV/atom
Symmetry   Cmce, No. 64
Total magnetic moment   0.000 μB/atom
Mass density   8.51 g/cm3
E above lowest polymorph   32.1 kJ/mol of formula units
Calculated volume   31.3 A^3/atom



# 11
VASP calculation (GGA-PBE) on a geometry-optimized RbHg4Pt structure. Values from VASP.

Geometry as Quantum ESPRESSO input:
```
&SYSTEM
  ibrav = 0, nat = 6, ntyp = 3
/
ATOMIC_SPECIES
Rb 85.47 Rb.upf
Hg 200.59 Hg.upf
Pt 195.08 Pt.upf
CELL_PARAMETERS angstrom
5.374 0.000 0.000
0.000 5.374 0.000
0.000 0.000 8.088
ATOMIC_POSITIONS crystal
Rb 0.000 0.000 0.000
Hg 0.500 0.500 0.824
Hg 0.500 0.500 0.176
Hg 0.500 0.000 0.500
Hg 0.000 0.500 0.500
Pt 0.500 0.500 0.500
```

Formation energy from the elements   -0.16 eV/atom
Symmetry   P4/mmm, No. 123
Total magnetic moment   0.000 μB/atom
Mass density   7.70 g/cm3
Calculated volume   38.9 A^3/atom



# 12
VASP calculation (GGA-PBE) on a geometry-optimized Rb3Hg4Pt4 structure. Values from VASP.

Geometry as Quantum ESPRESSO input:
```
&SYSTEM
  ibrav = 0, nat = 11, ntyp = 3
/
ATOMIC_SPECIES
Rb 85.47 Rb.upf
Hg 200.59 Hg.upf
Pt 195.08 Pt.upf
CELL_PARAMETERS angstrom
-0.338 -7.074 -2.080
7.063 2.084 0.493
-3.263 0.790 6.573
ATOMIC_POSITIONS crystal
Rb 0.500 0.500 0.000
Rb 0.500 0.000 0.500
Rb 0.000 0.500 0.500
Hg 0.000 0.593 0.000
Hg 0.593 0.000 0.000
Hg 0.000 0.000 0.593
Hg 0.407 0.407 0.407
Pt 0.000 0.229 0.000
Pt 0.000 0.000 0.229
Pt 0.229 0.000 0.000
Pt 0.771 0.771 0.771
```

Formation energy from the elements   -0.22 eV/atom
Symmetry   I-43m, No. 217
Total magnetic moment   0.000 μB/atom
Mass density   9.87 g/cm3
Calculated volume   28.1 A^3/atom



# 13
VASP calculation (GGA-PBE) on a geometry-optimized Rb5Hg5Pt structure. Values from VASP.

Geometry as Quantum ESPRESSO input:
```
&SYSTEM
  ibrav = 0, nat = 11, ntyp = 3
/
ATOMIC_SPECIES
Rb 85.47 Rb.upf
Hg 200.59 Hg.upf
Pt 195.08 Pt.upf
CELL_PARAMETERS angstrom
-2.859 4.088 9.519
2.859 -4.088 9.519
2.859 4.088 -9.519
ATOMIC_POSITIONS crystal
Rb 0.798 0.298 0.500
Rb 0.347 0.347 0.000
Rb 0.500 0.000 0.500
Rb 0.653 0.653 0.000
Rb 0.202 0.702 0.500
Hg 0.934 0.125 0.809
Hg 0.316 0.125 0.191
Hg 0.000 0.500 0.500
Hg 0.684 0.875 0.809
Hg 0.066 0.875 0.191
Pt 0.000 0.000 0.000
```

Formation energy from the elements   -0.11 eV/atom
Symmetry   Immm, No. 71
Total magnetic moment   0.000 μB/atom
Mass density   6.07 g/cm3
Calculated volume   40.5 A^3/atom



# 14
VASP calculation (GGA-PBE) on a geometry-optimized Rb2HgPt2 structure. Values from VASP.

Geometry as Quantum ESPRESSO input:
```
&SYSTEM
  ibrav = 0, nat = 5, ntyp = 3
/
ATOMIC_SPECIES
Rb 85.47 Rb.upf
Hg 200.59 Hg.upf
Pt 195.08 Pt.upf
CELL_PARAMETERS angstrom
6.678 0.000 0.000
0.000 6.678 0.000
3.339 3.339 3.918
ATOMIC_POSITIONS crystal
Rb 0.750 0.250 0.500
Rb 0.250 0.750 0.500
Hg 0.000 0.000 0.000
Pt 0.339 0.339 0.322
Pt 0.661 0.661 0.678
```

Formation energy from the elements   0.13 eV/atom
Symmetry   I4/mmm, No. 139
Total magnetic moment   0.000 μB/atom
Mass density   7.24 g/cm3
E above lowest polymorph   69.8 kJ/mol of formula units
Calculated volume   34.9 A^3/atom



# 15
VASP calculation (GGA-PBE) on a geometry-optimized Rb4Hg10Pt3 structure. Values from VASP.

Geometry as Quantum ESPRESSO input:
```
&SYSTEM
  ibrav = 0, nat = 17, ntyp = 3
/
ATOMIC_SPECIES
Rb 85.47 Rb.upf
Hg 200.59 Hg.upf
Pt 195.08 Pt.upf
CELL_PARAMETERS angstrom
-3.007 -4.427 -0.807
3.214 -2.792 3.341
-11.692 8.675 14.113
ATOMIC_POSITIONS crystal
Rb 0.568 0.568 0.136
Rb 0.432 0.432 0.864
Rb 0.298 0.298 0.596
Rb 0.702 0.702 0.404
Hg 0.136 0.636 0.273
Hg 0.068 0.068 0.136
Hg 0.636 0.136 0.273
Hg 0.864 0.364 0.727
Hg 0.364 0.864 0.727
Hg 0.932 0.932 0.864
Hg 0.206 0.206 0.412
Hg 0.794 0.794 0.588
Hg 0.000 0.500 0.000
Hg 0.500 0.000 0.000
Pt 0.136 0.136 0.273
Pt 0.864 0.864 0.727
Pt 0.000 0.000 0.000
```

Formation energy from the elements   -0.26 eV/atom
Symmetry   I4/mmm, No. 139
Total magnetic moment   0.000 μB/atom
Mass density   8.35 g/cm3
Calculated volume   34.3 A^3/atom



# 16
VASP calculation (GGA-PBE) on a geometry-optimized Rb2HgPt structure. Values from VASP.

Geometry as Quantum ESPRESSO input:
```
&SYSTEM
  ibrav = 0, nat = 8, ntyp = 3
/
ATOMIC_SPECIES
Rb 85.47 Rb.upf
Hg 200.59 Hg.upf
Pt 195.08 Pt.upf
CELL_PARAMETERS angstrom
6.993 0.000 0.000
0.000 6.993 0.000
3.496 3.496 9.296
ATOMIC_POSITIONS crystal
Rb 0.544 0.125 0.250
Rb 0.206 0.625 0.250
Rb 0.375 0.456 0.750
Rb 0.875 0.794 0.750
Hg 0.000 0.000 0.000
Hg 0.750 0.250 0.500
Pt 0.500 0.500 0.000
Pt 0.250 0.750 0.500
```

Formation energy from the elements   0.24 eV/atom
Symmetry   I-42d, No. 122
Total magnetic moment   0.000 μB/atom
Mass density   4.14 g/cm3
Calculated volume   56.8 A^3/atom



# 17
VASP calculation (GGA-PBE) on a geometry-optimized RbHg6Pt6 structure. Values from VASP.

Geometry as Quantum ESPRESSO input:
```
&SYSTEM
  ibrav = 0, nat = 13, ntyp = 3
/
ATOMIC_SPECIES
Rb 85.47 Rb.upf
Hg 200.59 Hg.upf
Pt 195.08 Pt.upf
CELL_PARAMETERS angstrom
5.312 0.000 2.123
2.572 6.809 1.271
0.128 0.063 7.387
ATOMIC_POSITIONS crystal
Rb 0.000 0.000 0.000
Hg 0.341 0.659 0.659
Hg 0.659 0.341 0.341
Hg 0.000 0.338 0.662
Hg 0.000 0.662 0.338
Hg 0.323 0.177 0.177
Hg 0.677 0.823 0.823
Pt 0.000 0.500 0.000
Pt 0.500 0.500 0.000
Pt 0.000 0.000 0.500
Pt 0.500 0.000 0.500
Pt 0.500 0.753 0.247
Pt 0.500 0.247 0.753
```

Formation energy from the elements   -0.10 eV/atom
Symmetry   Immm, No. 71
Total magnetic moment   0.000 μB/atom
Mass density   15.40 g/cm3
Calculated volume   20.4 A^3/atom



# 18
VASP calculation (GGA-PBE) on a geometry-optimized Rb4Hg6Pt structure. Values from VASP.

Geometry as Quantum ESPRESSO input:
```
&SYSTEM
  ibrav = 0, nat = 22, ntyp = 3
/
ATOMIC_SPECIES
Rb 85.47 Rb.upf
Hg 200.59 Hg.upf
Pt 195.08 Pt.upf
CELL_PARAMETERS angstrom
9.928 0.000 0.000
0.000 9.928 0.000
0.000 0.000 8.561
ATOMIC_POSITIONS crystal
Rb 0.355 0.145 0.250
Rb 0.145 0.645 0.750
Rb 0.645 0.855 0.750
Rb 0.855 0.355 0.750
Rb 0.355 0.145 0.750
Rb 0.145 0.645 0.250
Rb 0.855 0.355 0.250
Rb 0.645 0.855 0.250
Hg 0.268 0.890 0.500
Hg 0.768 0.610 0.000
Hg 0.610 0.232 0.000
Hg 0.110 0.268 0.500
Hg 0.000 0.000 0.174
Hg 0.500 0.500 0.326
Hg 0.390 0.768 0.000
Hg 0.000 0.000 0.826
Hg 0.232 0.390 0.000
Hg 0.500 0.500 0.674
Hg 0.890 0.732 0.500
Hg 0.732 0.110 0.500
Pt 0.500 0.500 0.000
Pt 0.000 0.000 0.500
```

Formation energy from the elements   -0.13 eV/atom
Symmetry   P4/mnc, No. 128
Total magnetic moment   0.000 μB/atom
Mass density   6.85 g/cm3
Calculated volume   38.4 A^3/atom



# 19
VASP calculation (GGA-PBE) on a geometry-optimized Rb2Hg3Pt structure. Values from VASP.

Geometry as Quantum ESPRESSO input:
```
&SYSTEM
  ibrav = 0, nat = 12, ntyp = 3
/
ATOMIC_SPECIES
Rb 85.47 Rb.upf
Hg 200.59 Hg.upf
Pt 195.08 Pt.upf
CELL_PARAMETERS angstrom
-2.478 3.902 -1.166
-4.936 -3.586 -1.513
-4.245 0.845 11.848
ATOMIC_POSITIONS crystal
Rb 0.500 0.779 0.211
Rb 0.000 0.721 0.711
Rb 0.000 0.279 0.289
Rb 0.500 0.221 0.789
Hg 0.000 0.000 0.000
Hg 0.500 0.500 0.500
Hg 0.500 0.291 0.072
Hg 0.500 0.709 0.928
Hg 0.000 0.209 0.572
Hg 0.000 0.791 0.428
Pt 0.000 0.500 0.000
Pt 0.500 0.000 0.500
```

Formation energy from the elements   -0.16 eV/atom
Symmetry   Pnnm, No. 58
Total magnetic moment   0.000 μB/atom
Mass density   8.50 g/cm3
Calculated volume   31.5 A^3/atom